Entry from Alexandria: crystalline SrPrBr4 at its relaxed geometry (GGA-PBE).

a b c (Å): 9.655 13.869 7.083
angles (deg): 90.00 124.89 90.00
Space group C2/c (No. 15)
One atom of each set of equivalent atoms:
Sr1 0.000 0.136 0.250 x4
Pr1 0.000 0.498 0.750 x4
Br1 0.121 0.324 0.582 x8
Br2 0.197 0.060 0.761 x8

Summary:
- Total moment: 0.00 μB/f.u.
- Final energy: -4.090 eV per atom
- Energy relative to the elements, uncorrected: -1.898 eV/atom
- Calculated volume: 32.413 Å³ per atom